# GdScIn

Crystalline GdScIn at its relaxed geometry (PBE-GGA, Alexandria via LeMat-Bulk).

## Properties
Symmetry: No. 156

Unit cell a=5.0879 b=5.0879 c=3.6134 alpha=90.00 beta=90.00 gamma=120.00
Last column: nearest neighbours and their distance in Å.
Atoms (fractional coordinates):
Gd1 0.0000 0.0000 0.0000  6 In 3.44-3.45, 6 Sc 3.45, 2 Gd 3.61
Sc1 0.6667 0.3333 0.4984  3 In 2.94
In1 0.3333 0.6667 0.5030  3 Sc 2.94

# GdScIn

Crystalline GdScIn at its relaxed geometry (PBE-GGA, Alexandria via LeMat-Bulk).

## Properties
Symmetry: No. 107

Unit cell a=6.4792 b=6.4792 c=6.4792 alpha=147.25 beta=147.25 gamma=47.00
Last column: nearest neighbours and their distance in Å.
Atoms (fractional coordinates):
Gd1 0.0000 0.0000 0.0000  4 In 3.33, 4 Sc 3.38, 4 Gd 3.65
Sc1 0.3169 0.3169 0.0000  4 In 3.07, 4 Gd 3.38
In1 0.6769 0.6769 0.0000  4 Sc 3.07, 4 Gd 3.33

| no. | energy of formation (eV/f.u.) | Fermi-level density of states (states/eV per cell) | E above lowest polymorph (meV per atom) |
| --- | --- | --- | --- |
| 1 | -0.79 | 2.647 | 38 |
| 2 | -0.90 | 3.028 | 0 |